A plane-wave DFT calculation with GGA-PBE was carried out for crystalline Li3Ni4Ge2 at its relaxed geometry.

abc: 4.0075 4.0064 7.5890
angles: 90.02 90.00 59.99
With the nearest neighbours (Å) after each atom.
Fractional coordinates of all 9 atoms:
1 Li 0.3333 0.3334 0.4432  3 Li 2.47, 4 Ni 2.50-2.54, 1 Ge 2.58
2 Li 0.0000 0.0000 0.0000  8 Ni 2.41-2.45
3 Li 0.6667 0.6666 0.5568  3 Li 2.47, 4 Ni 2.50-2.54, 1 Ge 2.58
4 Ni 0.6667 0.6665 0.8921  4 Li 2.45-2.54, 4 Ge 2.46
5 Ni 0.0000 0.0001 0.3173  4 Li 2.41-2.50, 3 Ge 2.44
6 Ni 0.0000 0.9999 0.6827  4 Li 2.41-2.50, 3 Ge 2.44
7 Ni 0.3333 0.3335 0.1079  4 Li 2.45-2.54, 4 Ge 2.46
8 Ge 0.3333 0.3333 0.7833  7 Ni 2.44-2.46, 1 Li 2.58
9 Ge 0.6667 0.6667 0.2167  7 Ni 2.44-2.46, 1 Li 2.58

formation enthalpy at 0 K = -323 meV per atom
density = 6.31 g/cm3
magnetization = 0.0 μB per formula unit
DOS(E_F) = 4.2 states/eV per cell